<1>
Here is crystalline CsRbSeN at its relaxed geometry from Alexandria. Energies are from PBE.

a = 3.9485 Å, b = 6.9975 Å, c = 6.9975 Å
α = 40.80°, β = 90.00°, γ = 90.00°
Atoms (fractional coordinates):
1 Cs 0.0000 0.0000 0.0000
2 Rb 0.0000 0.2813 0.2813
3 Se 0.5000 0.6802 0.6802
4 N 0.5000 0.8195 0.8195

Properties
symmetry = No. 38
magnetic moment = 0.21 μB/f.u.



<2>
Here is crystalline CsRbSeN at its relaxed geometry from Alexandria. Energies are from PBE.

a = 5.1415 Å, b = 5.1415 Å, c = 5.9051 Å
α = 109.40°, β = 109.40°, γ = 77.56°
Atoms (fractional coordinates):
1 Cs 0.0000 0.0000 0.0000
2 Rb 0.5972 0.5972 0.4020
3 Se 0.3383 0.3383 0.7125
4 N 0.5923 0.5923 0.8941

Properties
symmetry = No. 8
magnetic moment = 1.00 μB/f.u.



<3>
Here is crystalline CsRbSeN at its relaxed geometry from Alexandria. Energies are from PBE.

a = 5.9009 Å, b = 5.9009 Å, c = 5.8598 Å
α = 104.25°, β = 104.25°, γ = 44.89°
Atoms (fractional coordinates):
1 Cs 0.0000 0.0000 0.0000
2 Rb 0.6882 0.6882 0.5991
3 Se 0.3265 0.3265 0.2577
4 N 0.2832 0.2832 0.9311

Properties
symmetry = No. 8
magnetic moment = 1.01 μB/f.u.



<4>
Here is crystalline CsRbSeN at its relaxed geometry from Alexandria. Energies are from PBE.

a = 4.9381 Å, b = 6.2589 Å, c = 5.7173 Å
α = 90.00°, β = 90.00°, γ = 90.00°
Atoms (fractional coordinates):
1 Cs 0.0000 0.0000 0.0000
2 Rb 0.5000 0.5000 0.6784
3 Se 0.0000 0.5000 0.2550
4 N 0.0000 0.5000 0.9355

Properties
symmetry = No. 25
magnetic moment = 1.04 μB/f.u.



How do the energies compare? Relative to the most stable structure, in meV per atom: <1> 0; <2> 20; <3> 7; <4> 64.



<1>
Here is crystalline CsReN2 at its relaxed geometry from Alexandria. Energies are from PBE.

a = 4.2448 Å, b = 4.2448 Å, c = 4.2448 Å
α = 60.00°, β = 60.00°, γ = 60.00°
Atoms (fractional coordinates):
1 Cs 0.0000 0.0000 0.0000
2 Re 0.5000 0.5000 0.5000
3 N 0.2500 0.2500 0.2500
4 N 0.7500 0.7500 0.7500

Properties
symmetry = No. 225
magnetic moment = 0.00 μB/f.u.



<2>
Here is crystalline CsReN2 at its relaxed geometry from Alexandria. Energies are from PBE.

a = 8.4538 Å, b = 6.2505 Å, c = 12.4230 Å
α = 90.00°, β = 90.00°, γ = 90.00°
Atoms (fractional coordinates):
1 Cs 0.1236 0.1716 0.2500
2 Cs 0.1236 0.3284 0.7500
3 Cs 0.3733 0.2500 0.0000
4 Cs 0.3733 0.2500 0.5000
5 Cs 0.6267 0.7500 0.0000
6 Cs 0.6267 0.7500 0.5000
7 Cs 0.8764 0.6716 0.2500
8 Cs 0.8764 0.8284 0.7500
9 Re 0.1252 0.7500 0.0000
10 Re 0.1252 0.7500 0.5000
11 Re 0.3763 0.7037 0.2500
12 Re 0.3763 0.7963 0.7500
13 Re 0.6237 0.2037 0.2500
14 Re 0.6237 0.2963 0.7500
15 Re 0.8748 0.2500 0.0000
16 Re 0.8748 0.2500 0.5000
17 N 0.0000 0.0000 0.0000
18 N 0.0000 0.0000 0.5000
19 N 0.0000 0.5000 0.0000
20 N 0.0000 0.5000 0.5000
21 N 0.2523 0.7316 0.1246
22 N 0.2523 0.7316 0.3754
23 N 0.2523 0.7684 0.6246
24 N 0.2523 0.7684 0.8754
25 N 0.4822 0.0622 0.7500
26 N 0.4822 0.4378 0.2500
27 N 0.5178 0.5622 0.7500
28 N 0.5178 0.9378 0.2500
29 N 0.7477 0.2316 0.1246
30 N 0.7477 0.2316 0.3754
31 N 0.7477 0.2684 0.6246
32 N 0.7477 0.2684 0.8754

Properties
symmetry = No. 57
magnetic moment = 0.00 μB/f.u.



<3>
Here is crystalline CsReN2 at its relaxed geometry from Alexandria. Energies are from PBE.

a = 6.0612 Å, b = 4.4530 Å, c = 9.7939 Å
α = 90.00°, β = 90.00°, γ = 90.00°
Atoms (fractional coordinates):
1 Cs 0.0011 0.2500 0.1227
2 Cs 0.4989 0.7500 0.6227
3 Cs 0.5011 0.2500 0.3773
4 Cs 0.9989 0.7500 0.8773
5 Re 0.0006 0.7500 0.3717
6 Re 0.4994 0.2500 0.8717
7 Re 0.5006 0.7500 0.1283
8 Re 0.9994 0.2500 0.6283
9 N 0.0008 0.2500 0.4280
10 N 0.2492 0.2500 0.7501
11 N 0.2508 0.7500 0.2501
12 N 0.4992 0.7500 0.9280
13 N 0.5008 0.2500 0.0720
14 N 0.7492 0.2500 0.7499
15 N 0.7508 0.7500 0.2499
16 N 0.9992 0.7500 0.5720

Properties
symmetry = No. 62
magnetic moment = 0.00 μB/f.u.



<4>
Here is crystalline CsReN2 at its relaxed geometry from Alexandria. Energies are from PBE.

a = 6.1656 Å, b = 6.1656 Å, c = 6.1656 Å
α = 120.30°, β = 120.30°, γ = 89.49°
Atoms (fractional coordinates):
1 Cs 0.3750 0.6250 0.7500
2 Cs 0.6250 0.3750 0.2500
3 Re 0.1250 0.8750 0.2500
4 Re 0.8750 0.1250 0.7500
5 N 0.0000 0.0000 0.0000
6 N 0.0000 0.0000 0.5000
7 N 0.0000 0.5000 0.0000
8 N 0.5000 0.0000 0.5000

Properties
symmetry = No. 141
magnetic moment = 0.00 μB/f.u.



How do the energies compare? Relative to the most stable structure, in meV per atom: <1> 2755; <2> 5; <3> 383; <4> 0.



<1>
Here is crystalline Cs2ReN2 at its relaxed geometry from Alexandria. Energies are from PBE.

a = 10.0944 Å, b = 10.0944 Å, c = 9.1944 Å
α = 90.00°, β = 90.00°, γ = 159.15°
Atoms (fractional coordinates):
1 Cs 0.0201 0.9799 0.5000
2 Cs 0.2145 0.7855 0.9048
3 Cs 0.7855 0.2145 0.4048
4 Cs 0.9799 0.0201 0.0000
5 Re 0.3717 0.6283 0.6906
6 Re 0.6283 0.3717 0.1906
7 N 0.1417 0.8583 0.2592
8 N 0.4007 0.5993 0.5125
9 N 0.5993 0.4007 0.0125
10 N 0.8583 0.1417 0.7592

Properties
symmetry = No. 36
magnetic moment = 0.00 μB/f.u.



<2>
Here is crystalline Cs2ReN2 at its relaxed geometry from Alexandria. Energies are from PBE.

a = 5.9989 Å, b = 5.9989 Å, c = 5.7761 Å
α = 90.00°, β = 90.00°, γ = 90.00°
Atoms (fractional coordinates):
1 Cs 0.1824 0.3176 0.0000
2 Cs 0.3176 0.8176 0.0000
3 Cs 0.6824 0.1824 0.0000
4 Cs 0.8176 0.6824 0.0000
5 Re 0.0000 0.0000 0.5000
6 Re 0.5000 0.5000 0.5000
7 N 0.2400 0.7400 0.5000
8 N 0.2600 0.2400 0.5000
9 N 0.7400 0.7600 0.5000
10 N 0.7600 0.2600 0.5000

Properties
symmetry = No. 127
magnetic moment = 0.00 μB/f.u.



How do the energies compare? Relative to the most stable structure, in meV per atom: <1> 0; <2> 992.



<1>
Here is crystalline CsRe3N at its relaxed geometry from Alexandria. Energies are from PBE.

a = 4.3014 Å, b = 4.3014 Å, c = 4.3014 Å
α = 90.00°, β = 90.00°, γ = 90.00°
Atoms (fractional coordinates):
1 Cs 0.0000 0.0000 0.0000
2 Re 0.0000 0.5000 0.5000
3 Re 0.5000 0.0000 0.5000
4 Re 0.5000 0.5000 0.0000
5 N 0.5000 0.5000 0.5000

Properties
symmetry = No. 221
magnetic moment = 0.89 μB/f.u.



<2>
Here is crystalline CsRe3N at its relaxed geometry from Alexandria. Energies are from PBE.

a = 4.9193 Å, b = 4.9193 Å, c = 4.9193 Å
α = 90.00°, β = 90.00°, γ = 90.00°
Atoms (fractional coordinates):
1 Cs 0.0000 0.0000 0.0000
2 Re 0.0000 0.0000 0.5000
3 Re 0.0000 0.5000 0.0000
4 Re 0.5000 0.0000 0.0000
5 N 0.5000 0.5000 0.5000

Properties
symmetry = No. 221
magnetic moment = 3.97 μB/f.u.



How do the energies compare? Relative to the most stable structure, in meV per atom: <1> 0; <2> 3436.



<1>
Here is crystalline CsReTe2N at its relaxed geometry from Alexandria. Energies are from PBE.

a = 6.0440 Å, b = 6.0440 Å, c = 4.0369 Å
α = 90.00°, β = 90.00°, γ = 90.00°
Atoms (fractional coordinates):
1 Cs 0.0000 0.0000 0.0000
2 Re 0.5000 0.5000 0.5000
3 Te 0.0000 0.5000 0.0000
4 Te 0.5000 0.0000 0.0000
5 N 0.0000 0.0000 0.5000

Properties
symmetry = No. 123
magnetic moment = 0.41 μB/f.u.



<2>
Here is crystalline CsReTe2N at its relaxed geometry from Alexandria. Energies are from PBE.

a = 5.8530 Å, b = 5.8530 Å, c = 3.8128 Å
α = 90.00°, β = 90.00°, γ = 90.00°
Atoms (fractional coordinates):
1 Cs 0.0000 0.0000 0.0000
2 Re 0.5000 0.5000 0.5000
3 Te 0.0000 0.5000 0.5000
4 Te 0.5000 0.0000 0.5000
5 N 0.5000 0.5000 0.0000

Properties
symmetry = No. 123
magnetic moment = 0.17 μB/f.u.



How do the energies compare? Relative to the most stable structure, in meV per atom: <1> 2801; <2> 0.